Run 1
The following is a PBE calculation of crystalline La3CBr at its relaxed geometry, from Alexandria.

a = 5.5250 Å, b = 7.8580 Å, c = 6.8954 Å
α = 90.00°, β = 104.60°, γ = 90.00°
With the nearest neighbours (Å) after each atom.
Element x y z (fractional)
La  0.0010  0.2500  0.0015  2 C 2.76-2.77
La  0.3975  0.0002  0.7462  2 C 2.60
La  0.3975  0.4998  0.7462  2 C 2.60
La  0.6025  0.9998  0.2538  2 C 2.60
La  0.6025  0.5002  0.2538  2 C 2.60
La  0.9990  0.7500  0.9985  2 C 2.76-2.77
C  0.5001  0.2500  0.0007  6 La 2.60-2.77
C  0.4999  0.7500  0.9993  6 La 2.60-2.77
Br  0.0019  0.7500  0.4985  6 La 3.11-3.45
Br  0.9981  0.2500  0.5015  6 La 3.11-3.45


Run 2
The following is a PBE calculation of crystalline La3CBr at its relaxed geometry, from Alexandria.

a = 5.2295 Å, b = 5.2295 Å, c = 5.2295 Å
α = 90.00°, β = 90.00°, γ = 90.00°
With the nearest neighbours (Å) after each atom.
Element x y z (fractional)
La  0.0000  0.0000  0.5000  2 C 2.61
La  0.0000  0.5000  0.0000  2 C 2.61
La  0.5000  0.0000  0.0000  2 C 2.61
C  0.0000  0.0000  0.0000  6 La 2.61
Br  0.5000  0.5000  0.5000  12 La 3.70


Energy comparison, zero being the most stable, in eV/atom: run 1 0.000; run 2 0.237.


Run 1
The following is a PBE calculation of crystalline LaC3Br at its relaxed geometry, from Alexandria.

a = 4.8640 Å, b = 4.8640 Å, c = 4.8640 Å
α = 90.00°, β = 90.00°, γ = 90.00°
With the nearest neighbours (Å) after each atom.
Element x y z (fractional)
La  0.0000  0.0000  0.0000  6 C 2.43
C  0.0000  0.0000  0.5000  2 La 2.43
C  0.0000  0.5000  0.0000  2 La 2.43
C  0.5000  0.0000  0.0000  2 La 2.43
Br  0.5000  0.5000  0.5000  12 C 3.44


Run 2
The following is a PBE calculation of crystalline LaC3Br at its relaxed geometry, from Alexandria.

a = 4.1793 Å, b = 4.1793 Å, c = 4.1793 Å
α = 90.00°, β = 90.00°, γ = 90.00°
With the nearest neighbours (Å) after each atom.
Element x y z (fractional)
La  0.0000  0.0000  0.0000  12 C 2.96
C  0.0000  0.5000  0.5000  2 Br 2.09
C  0.5000  0.0000  0.5000  2 Br 2.09
C  0.5000  0.5000  0.0000  2 Br 2.09
Br  0.5000  0.5000  0.5000  6 C 2.09


Energy comparison, zero being the most stable, in eV/atom: run 1 0.680; run 2 0.000.


Run 1
The following is a PBE calculation of crystalline LaCSe2Br at its relaxed geometry, from Alexandria.

a = 4.6608 Å, b = 4.6608 Å, c = 4.7511 Å
α = 90.00°, β = 90.00°, γ = 90.00°
With the nearest neighbours (Å) after each atom.
Element x y z (fractional)
La  0.0000  0.0000  0.0000  4 Br 3.30, 8 Se 3.33
C  0.5000  0.5000  0.5000  4 Se 2.33, 2 Br 2.38
Se  0.0000  0.5000  0.5000  2 C 2.33
Se  0.5000  0.0000  0.5000  2 C 2.33
Br  0.5000  0.5000  0.0000  2 C 2.38


Run 2
The following is a PBE calculation of crystalline LaCSe2Br at its relaxed geometry, from Alexandria.

a = 5.9292 Å, b = 5.9292 Å, c = 5.7648 Å
α = 90.00°, β = 90.00°, γ = 90.00°
With the nearest neighbours (Å) after each atom.
Element x y z (fractional)
La  0.0000  0.0000  0.0000  2 Br 2.88, 4 Se 2.96
C  0.5000  0.5000  0.5000  8 Se 4.13, 4 Br 4.19
Se  0.0000  0.5000  0.0000  2 La 2.96
Se  0.5000  0.0000  0.0000  2 La 2.96
Br  0.0000  0.0000  0.5000  2 La 2.88


Energy comparison, zero being the most stable, in eV/atom: run 1 0.000; run 2 0.859.


Run 1
The following is a PBE calculation of crystalline LiC2Br at its relaxed geometry, from Alexandria.

a = 4.1065 Å, b = 4.1065 Å, c = 4.1065 Å
α = 60.00°, β = 60.00°, γ = 60.00°
With the nearest neighbours (Å) after each atom.
Element x y z (fractional)
Li  0.0000  0.0000  0.0000  8 C 2.51
C  0.2500  0.2500  0.2500  4 Br 2.51, 4 Li 2.51
C  0.7500  0.7500  0.7500  4 Li 2.51, 4 Br 2.51
Br  0.5000  0.5000  0.5000  8 C 2.51


Run 2
The following is a PBE calculation of crystalline LiC2Br at its relaxed geometry, from Alexandria.

a = 5.3943 Å, b = 5.3943 Å, c = 5.3943 Å
α = 121.52°, β = 121.52°, γ = 87.39°
With the nearest neighbours (Å) after each atom.
Element x y z (fractional)
Li  0.0000  0.0000  0.0000  4 C 2.22
Li  0.7500  0.2500  0.5000  4 C 2.22
C  0.1578  0.6250  0.0328  2 Br 2.00, 2 Li 2.22
C  0.3750  0.4078  0.5328  2 Br 2.00, 2 Li 2.22
C  0.5922  0.1250  0.9672  2 Br 2.00, 2 Li 2.22
C  0.8750  0.8422  0.4672  2 Br 2.00, 2 Li 2.22
Br  0.2500  0.7500  0.5000  4 C 2.00
Br  0.5000  0.5000  0.0000  4 C 2.00


Energy comparison, zero being the most stable, in eV/atom: run 1 0.374; run 2 0.000.